Entry 1:
{"formula": "PdRuBrCl6", "functional": "PBE", "state": "optimized geometry", "total_energy_ev_per_atom": -3.338, "raw_formation_energy_kj_per_mol_fu": -272.3, "spacegroup": "P312", "cell": [[6.2001, 0.0000, 0.0000], [-3.1000, 5.3694, 0.0000], [0.0000, 0.0000, 7.5126]], "species": ["Pd", "Ru", "Br", "Cl", "Cl", "Cl", "Cl", "Cl", "Cl"], "fractional_positions": [[0.0000, 0.0000, 0.0000], [0.6667, 0.3333, 0.0000], [0.3333, 0.6667, 0.5000], [0.3421, 0.0273, 0.8238], [0.3421, 0.3148, 0.1762], [0.6852, 0.0273, 0.1762], [0.6852, 0.6579, 0.8238], [0.9727, 0.3148, 0.8238], [0.9727, 0.6579, 0.1762]]}

Entry 2:
{"formula": "Si2PdRh2", "functional": "PBE", "state": "optimized geometry", "total_energy_ev_per_atom": -6.876, "raw_formation_energy_kj_per_mol_fu": -351.2, "spacegroup": "P4/mbm", "cell": [[6.9741, 0.0000, 0.0000], [0.0000, 6.9741, 0.0000], [0.0000, 0.0000, 2.8150]], "species": ["Si", "Si", "Si", "Si", "Pd", "Pd", "Rh", "Rh", "Rh", "Rh"], "fractional_positions": [[0.1523, 0.3477, 0.0000], [0.3477, 0.8477, 0.0000], [0.6523, 0.1523, 0.0000], [0.8477, 0.6523, 0.0000], [0.0000, 0.0000, 0.0000], [0.5000, 0.5000, 0.0000], [0.1442, 0.6442, 0.5000], [0.3558, 0.1442, 0.5000], [0.6442, 0.8558, 0.5000], [0.8558, 0.3558, 0.5000]]}

Entry 3:
{"formula": "CaAlZn2Pd4", "functional": "PBE", "state": "optimized geometry", "total_energy_ev_per_atom": -4.284, "spacegroup": "R-3m", "cell": [[2.2077, 1.2746, 7.8562], [-2.2077, 1.2746, 7.8562], [0.0000, -2.5493, 7.8562]], "species": ["Ca", "Al", "Zn", "Zn", "Pd", "Pd", "Pd", "Pd"], "fractional_positions": [[0.0000, 0.0000, 0.0000], [0.5000, 0.5000, 0.5000], [0.2462, 0.2462, 0.2462], [0.7538, 0.7538, 0.7538], [0.1312, 0.1312, 0.1312], [0.3963, 0.3963, 0.3963], [0.6037, 0.6037, 0.6037], [0.8688, 0.8688, 0.8688]]}

Entry 4:
{"formula": "Tb2Pm2AlGa4", "functional": "PBE", "state": "optimized geometry", "total_energy_ev_per_atom": -4.092, "spacegroup": "I4/mmm", "cell": [[-3.5259, 3.5259, 4.4766], [3.5259, -3.5259, 4.4766], [3.5259, 3.5259, -4.4766]], "species": ["Tb", "Tb", "Pm", "Pm", "Al", "Ga", "Ga", "Ga", "Ga"], "fractional_positions": [[0.2500, 0.7500, 0.5000], [0.7500, 0.2500, 0.5000], [0.1885, 0.1885, 0.0000], [0.8115, 0.8115, 0.0000], [0.5000, 0.5000, 0.0000], [0.2530, 0.2530, 0.5061], [0.2530, 0.7470, 0.0000], [0.7470, 0.2530, 0.0000], [0.7470, 0.7470, 0.4939]]}

Entry 5:
{"formula": "Tm2Zn2Si2C", "functional": "PBE", "state": "optimized geometry", "total_energy_ev_per_atom": -4.830, "raw_formation_energy_kj_per_mol_fu": -216.9, "spacegroup": "P-1", "cell": [[3.7731, 0.0000, 0.0000], [1.8757, 5.4709, 0.0000], [1.8481, 1.1783, 5.7164]], "species": ["Tm", "Tm", "Zn", "Zn", "Si", "Si", "C"], "fractional_positions": [[0.0608, 0.1527, 0.2262], [0.9392, 0.8473, 0.7738], [0.2873, 0.3290, 0.5959], [0.7127, 0.6710, 0.4041], [0.3662, 0.6195, 0.1463], [0.6338, 0.3805, 0.8537], [0.5000, 0.0000, 0.5000]]}

Entry 6:
{"formula": "Nd12In3Hg", "functional": "PBE", "state": "optimized geometry", "total_energy_ev_per_atom": -4.361, "spacegroup": "P4/mmm", "cell": [[4.9812, 0.0000, 0.0000], [0.0000, 4.9812, 0.0000], [0.0000, 0.0000, 19.8744]], "species": ["Nd", "Nd", "Nd", "Nd", "Nd", "Nd", "Nd", "Nd", "Nd", "Nd", "Nd", "Nd", "In", "In", "In", "Hg"], "fractional_positions": [[0.0000, 0.0000, 0.0000], [0.0000, 0.0000, 0.2477], [0.0000, 0.0000, 0.5000], [0.0000, 0.0000, 0.7523], [0.0000, 0.5000, 0.1239], [0.0000, 0.5000, 0.3742], [0.0000, 0.5000, 0.6258], [0.0000, 0.5000, 0.8761], [0.5000, 0.0000, 0.1239], [0.5000, 0.0000, 0.3742], [0.5000, 0.0000, 0.6258], [0.5000, 0.0000, 0.8761], [0.5000, 0.5000, 0.2488], [0.5000, 0.5000, 0.5000], [0.5000, 0.5000, 0.7512], [0.5000, 0.5000, 0.0000]]}

Entry 7:
{"formula": "Ti8SbTe2", "functional": "PBE", "state": "optimized geometry", "total_energy_ev_per_atom": -6.901, "raw_formation_energy_kj_per_mol_fu": -226.8, "spacegroup": "C2/m", "cell": [[3.7008, -6.1230, 0.0000], [3.7008, 6.1230, 0.0000], [-2.1887, 0.0000, 4.5950]], "species": ["Ti", "Ti", "Ti", "Ti", "Ti", "Ti", "Ti", "Ti", "Sb", "Te", "Te"], "fractional_positions": [[0.0953, 0.3092, 0.6106], [0.2282, 0.7718, 0.0000], [0.3092, 0.0953, 0.6106], [0.4103, 0.4103, 0.1814], [0.5897, 0.5897, 0.8186], [0.6908, 0.9047, 0.3894], [0.7718, 0.2282, 0.0000], [0.9047, 0.6908, 0.3894], [0.0000, 0.0000, 0.0000], [0.3036, 0.6964, 0.5000], [0.6964, 0.3036, 0.5000]]}

Entry 8:
{"formula": "LaEuAgRh", "functional": "PBE", "state": "optimized geometry", "total_energy_ev_per_atom": -6.762, "spacegroup": "F-43m", "cell": [[0.0000, 3.6678, 3.6678], [3.6678, 0.0000, 3.6678], [3.6678, 3.6678, 0.0000]], "species": ["La", "Eu", "Ag", "Rh"], "fractional_positions": [[0.0000, 0.0000, 0.0000], [0.5000, 0.5000, 0.5000], [0.2500, 0.2500, 0.2500], [0.7500, 0.7500, 0.7500]]}

Entry 9:
{"formula": "MgIn2Ge", "functional": "PBE", "state": "optimized geometry", "total_energy_ev_per_atom": -2.902, "spacegroup": "P4/mmm", "cell": [[4.4929, 0.0000, 0.0000], [0.0000, 4.4929, 0.0000], [0.0000, 0.0000, 4.5424]], "species": ["Mg", "In", "In", "Ge"], "fractional_positions": [[0.0000, 0.0000, 0.0000], [0.0000, 0.5000, 0.5000], [0.5000, 0.0000, 0.5000], [0.5000, 0.5000, 0.0000]]}

Entry 10:
{"formula": "K2ZrBr", "functional": "PBE", "state": "optimized geometry", "total_energy_ev_per_atom": -2.689, "raw_formation_energy_kj_per_mol_fu": 160.0, "spacegroup": "I-4m2", "cell": [[-2.5162, 2.5162, 6.3988], [2.5162, -2.5162, 6.3988], [2.5162, 2.5162, -6.3988]], "species": ["K", "K", "Zr", "Br"], "fractional_positions": [[0.0000, 0.0000, 0.0000], [0.7500, 0.2500, 0.5000], [0.2500, 0.7500, 0.5000], [0.5000, 0.5000, 0.0000]]}

Entry 11:
{"formula": "La2ReAg", "functional": "PBE", "state": "optimized geometry", "total_energy_ev_per_atom": -6.142, "spacegroup": "Fm-3m", "cell": [[0.0000, 3.6738, 3.6738], [3.6738, 0.0000, 3.6738], [3.6738, 3.6738, 0.0000]], "species": ["La", "La", "Re", "Ag"], "fractional_positions": [[0.2500, 0.2500, 0.2500], [0.7500, 0.7500, 0.7500], [0.0000, 0.0000, 0.0000], [0.5000, 0.5000, 0.5000]]}

Entry 12:
{"formula": "Sc2TcOs", "functional": "PBE", "state": "optimized geometry", "total_energy_ev_per_atom": -8.681, "spacegroup": "Pmmm", "cell": [[3.2048, 0.0000, 0.0000], [0.0000, 4.3149, 0.0000], [0.0000, 0.0000, 4.8617]], "species": ["Sc", "Sc", "Tc", "Os"], "fractional_positions": [[0.0000, 0.0000, 0.0000], [0.5000, 0.0000, 0.5000], [0.0000, 0.5000, 0.5000], [0.5000, 0.5000, 0.0000]]}

Entry 13:
{"formula": "Tl2HgMo", "functional": "PBE", "state": "optimized geometry", "total_energy_ev_per_atom": -3.136, "spacegroup": "Fm-3m", "cell": [[0.0000, 3.6551, 3.6551], [3.6551, 0.0000, 3.6551], [3.6551, 3.6551, 0.0000]], "species": ["Tl", "Tl", "Hg", "Mo"], "fractional_positions": [[0.2500, 0.2500, 0.2500], [0.7500, 0.7500, 0.7500], [0.0000, 0.0000, 0.0000], [0.5000, 0.5000, 0.5000]]}

Entry 14:
{"formula": "FeAgAs2", "functional": "PBE", "state": "optimized geometry", "total_energy_ev_per_atom": -4.858, "spacegroup": "R3m", "cell": [[1.5220, 0.8787, 8.5055], [-1.5220, 0.8787, 8.5055], [0.0000, -1.7575, 8.5055]], "species": ["Fe", "Ag", "As", "As"], "fractional_positions": [[0.0000, 0.0000, 0.0000], [0.7514, 0.7514, 0.7514], [0.2716, 0.2716, 0.2716], [0.5098, 0.5098, 0.5098]]}

Entry 15:
{"formula": "Ni2SnN", "functional": "PBE", "state": "optimized geometry", "total_energy_ev_per_atom": -5.111, "raw_formation_energy_kj_per_mol_fu": 332.5, "spacegroup": "Fm-3m", "cell": [[0.0000, 2.9342, 2.9342], [2.9342, 0.0000, 2.9342], [2.9342, 2.9342, 0.0000]], "species": ["Ni", "Ni", "Sn", "N"], "fractional_positions": [[0.2500, 0.2500, 0.2500], [0.7500, 0.7500, 0.7500], [0.0000, 0.0000, 0.0000], [0.5000, 0.5000, 0.5000]]}

Entry 16:
{"formula": "CaSi2", "functional": "PBE", "state": "optimized geometry", "total_energy_ev_per_atom": -4.564, "raw_formation_energy_kj_per_mol_fu": -81.5, "spacegroup": "Fd-3m", "cell": [[0.0000, 3.8165, 3.8165], [3.8165, 0.0000, 3.8165], [3.8165, 3.8165, 0.0000]], "species": ["Ca", "Ca", "Si", "Si", "Si", "Si"], "fractional_positions": [[0.1250, 0.1250, 0.1250], [0.8750, 0.8750, 0.8750], [0.0000, 0.5000, 0.5000], [0.5000, 0.0000, 0.5000], [0.5000, 0.5000, 0.0000], [0.5000, 0.5000, 0.5000]]}

Entry 17:
{"formula": "CsPuTl2Br6", "functional": "PBE", "state": "optimized geometry", "total_energy_ev_per_atom": -4.325, "raw_formation_energy_kj_per_mol_fu": -1282.7, "spacegroup": "P2_1/c", "cell": [[8.0116, 0.0000, 0.0000], [0.0000, 9.1118, 0.0000], [-7.4143, 0.0000, 11.5639]], "species": ["Cs", "Cs", "Pu", "Pu", "Tl", "Tl", "Tl", "Tl", "Br", "Br", "Br", "Br", "Br", "Br", "Br", "Br", "Br", "Br", "Br", "Br"], "fractional_positions": [[0.0000, 0.0000, 0.0000], [0.0000, 0.5000, 0.5000], [0.5000, 0.0000, 0.5000], [0.5000, 0.5000, 0.0000], [0.2032, 0.0541, 0.7182], [0.2032, 0.4459, 0.2182], [0.7968, 0.5541, 0.7818], [0.7968, 0.9459, 0.2818], [0.1625, 0.1539, 0.4720], [0.1625, 0.3461, 0.9720], [0.2322, 0.7457, 0.8879], [0.2322, 0.7543, 0.3879], [0.4296, 0.1099, 0.2836], [0.4296, 0.3901, 0.7836], [0.5704, 0.6099, 0.2164], [0.5704, 0.8901, 0.7164], [0.7678, 0.2457, 0.6121], [0.7678, 0.2543, 0.1121], [0.8375, 0.6539, 0.0280], [0.8375, 0.8461, 0.5280]]}

Entry 18:
{"formula": "Mn2AgW", "functional": "PBE", "state": "optimized geometry", "total_energy_ev_per_atom": -8.111, "spacegroup": "Fm-3m", "cell": [[0.0000, 3.0907, 3.0907], [3.0907, 0.0000, 3.0907], [3.0907, 3.0907, 0.0000]], "species": ["Mn", "Mn", "Ag", "W"], "fractional_positions": [[0.2500, 0.2500, 0.2500], [0.7500, 0.7500, 0.7500], [0.0000, 0.0000, 0.0000], [0.5000, 0.5000, 0.5000]]}

Entry 19:
{"formula": "BeCrMo", "functional": "PBE", "state": "optimized geometry", "total_energy_ev_per_atom": -7.888, "spacegroup": "Fmm2", "cell": [[0.0000, 2.0400, 5.6386], [1.5909, 0.0000, 5.6386], [1.5909, 2.0400, 0.0000]], "species": ["Be", "Cr", "Mo"], "fractional_positions": [[0.0000, 0.0000, 0.0000], [0.3532, 0.3532, 0.6468], [0.6650, 0.6650, 0.3350]]}

Entry 20:
{"formula": "RbBa4Sr15", "functional": "PBE", "state": "optimized geometry", "total_energy_ev_per_atom": -1.667, "spacegroup": "P4/mmm", "cell": [[6.1258, 0.0000, 0.0000], [0.0000, 6.1258, 0.0000], [0.0000, 0.0000, 30.7494]], "species": ["Rb", "Ba", "Ba", "Ba", "Ba", "Sr", "Sr", "Sr", "Sr", "Sr", "Sr", "Sr", "Sr", "Sr", "Sr", "Sr", "Sr", "Sr", "Sr", "Sr"], "fractional_positions": [[0.0000, 0.0000, 0.0000], [0.0000, 0.0000, 0.2037], [0.0000, 0.0000, 0.4010], [0.0000, 0.0000, 0.5990], [0.0000, 0.0000, 0.7963], [0.0000, 0.5000, 0.1039], [0.0000, 0.5000, 0.3022], [0.0000, 0.5000, 0.5000], [0.0000, 0.5000, 0.6978], [0.0000, 0.5000, 0.8961], [0.5000, 0.0000, 0.1039], [0.5000, 0.0000, 0.3022], [0.5000, 0.0000, 0.5000], [0.5000, 0.0000, 0.6978], [0.5000, 0.0000, 0.8961], [0.5000, 0.5000, 0.0000], [0.5000, 0.5000, 0.2025], [0.5000, 0.5000, 0.4012], [0.5000, 0.5000, 0.5988], [0.5000, 0.5000, 0.7975]]}